# GGA-PBE TbCe2Pa, optimized geometry
data_TbCe2Pa
_space_group_name_H-M_alt 'R -3 m'
_space_group_IT_number 166
_space_group_name_Hall '-R 3 2"'
_cell_length_a 3.8118
_cell_length_b 3.8118
_cell_length_c 29.3054
_cell_angle_alpha 90.00
_cell_angle_beta 90.00
_cell_angle_gamma 120.00
loop_
_atom_site_label
_atom_site_fract_x
_atom_site_fract_y
_atom_site_fract_z
Tb1 0.0000 0.0000 0.0000
Ce1 0.0000 0.0000 0.1112
Pa1 0.0000 0.0000 0.5000
# - Distance to the lowest polymorph of the same formula: 619.6 meV per atom
# - Energy of formation from the pure elements: 2.8 eV/f.u.
# - Crystal system: trigonal
# - Density of states at the Fermi level: 32.5 states/eV/cell



# GGA-PBE TbCe2Pa, optimized geometry
data_TbCe2Pa
_space_group_name_H-M_alt 'F m -3 m'
_space_group_IT_number 225
_space_group_name_Hall '-F 4 2 3'
_cell_length_a 7.613
_cell_length_b 7.613
_cell_length_c 7.613
_cell_angle_alpha 90.00
_cell_angle_beta 90.00
_cell_angle_gamma 90.00
loop_
_atom_site_label
_atom_site_fract_x
_atom_site_fract_y
_atom_site_fract_z
Tb1 0.000 0.000 0.000
Ce1 0.250 0.250 0.250
Pa1 0.000 0.000 0.500
# - Distance to the lowest polymorph of the same formula: 274.6 meV per atom
# - Energy of formation from the pure elements: 1.4 eV/f.u.
# - Crystal system: cubic
# - Density of states at the Fermi level: 58.7 states/eV/cell



# GGA-PBE TbCe2Pa, optimized geometry
data_TbCe2Pa
_space_group_name_H-M_alt 'R 3 m'
_space_group_IT_number 160
_space_group_name_Hall 'R 3 -2"'
_cell_length_a 3.3267
_cell_length_b 3.3267
_cell_length_c 34.4769
_cell_angle_alpha 90.00
_cell_angle_beta 90.00
_cell_angle_gamma 120.00
loop_
_atom_site_label
_atom_site_fract_x
_atom_site_fract_y
_atom_site_fract_z
Tb1 0.0000 0.0000 0.0000
Ce1 0.0000 0.0000 0.4207
Ce2 0.0000 0.0000 0.5814
Pa1 0.0000 0.0000 0.1680
# - Distance to the lowest polymorph of the same formula: 36.2 meV per atom
# - Energy of formation from the pure elements: 0.5 eV/f.u.
# - Crystal system: trigonal
# - Density of states at the Fermi level: 32.3 states/eV/cell